First-principles (meta-GGA SCAN) data for MnBiTe3 at its PBEsol-relaxed geometry, as listed in Alexandria.

Results
N(E_F) ... 4.1 states/eV per cell
Energy relative to the elements, uncorrected ... 0.678 eV/atom
Calculated total energy ... -41.039 eV/atom

Cell lengths 5.782, 5.782, 5.782 Å; angles 90.00, 90.00, 90.00 degrees
Element x y z (fractional)
Mn  0.500  0.500  0.500
Te  0.000  0.500  0.000
Te  0.500  0.000  0.000
Te  0.000  0.000  0.500
Bi  0.000  0.000  0.000


First-principles (meta-GGA SCAN) data for Ti4MnBi2 at its PBEsol-relaxed geometry, as listed in Alexandria.

Results
N(E_F) ... 9.4 states/eV per cell
Calculated total energy ... -34.556 eV/atom
Calculated formation energy ... -337 meV per atom

Cell lengths 4.939, 7.747, 7.747 Å; angles 84.17, 71.41, 71.41 degrees
Element x y z (fractional)
Bi  0.362  0.776  0.500
Bi  0.138  0.500  0.224
Bi  0.638  0.224  0.500
Bi  0.862  0.500  0.776
Ti  0.307  0.112  0.273
Ti  0.419  0.273  0.888
Ti  0.081  0.112  0.727
Ti  0.807  0.273  0.112
Ti  0.919  0.888  0.273
Ti  0.193  0.727  0.888
Ti  0.581  0.727  0.112
Ti  0.693  0.888  0.727
Mn  0.750  0.000  0.000
Mn  0.250  0.000  0.000


First-principles (meta-GGA SCAN) data for MnTlBi2 at its PBEsol-relaxed geometry, as listed in Alexandria.

Results
N(E_F) ... 2.9 states/eV per cell
Calculated total energy ... -61.730 eV/atom
Calculated formation energy ... 214 meV per atom

Cell lengths 5.388, 5.388, 9.665 Å; angles 106.18, 106.18, 90.00 degrees
Element x y z (fractional)
Tl  0.000  0.000  0.000
Tl  0.250  0.750  0.500
Bi  0.457  0.875  0.250
Bi  0.625  0.543  0.750
Bi  0.125  0.207  0.750
Bi  0.793  0.375  0.250
Mn  0.750  0.250  0.500
Mn  0.500  0.500  0.000


First-principles (meta-GGA SCAN) data for Mn2Bi2W at its PBEsol-relaxed geometry, as listed in Alexandria.

Results
N(E_F) ... 4.9 states/eV per cell
Calculated total energy ... -51.545 eV/atom
Calculated formation energy ... 1126 meV per atom

Cell lengths 5.170, 5.170, 5.170 Å; angles 92.45, 118.59, 118.59 degrees
Element x y z (fractional)
W  0.000  0.000  0.000
Bi  0.500  0.750  0.250
Bi  0.500  0.250  0.750
Mn  0.000  0.343  0.343
Mn  0.000  0.657  0.657


Which value of calculated total energy does entry 1 give? -41.039 eV/atom